(1)
Here is crystalline SrMgAl2Ag at its relaxed geometry from Alexandria. Energies are from PBE-GGA.

Output
Spin magnetization ... 0.00 Bohr magnetons per cell
Calculated density ... 3.84 g cm⁻³
Formation enthalpy at 0 K ... -0.2326 eV per atom

Unit cell a=4.452 b=4.521 c=6.677 alpha=109.79 beta=109.47 gamma=90.00
Atoms (fractional coordinates):
Sr1 0.444 0.444 0.888
Al1 0.054 0.054 0.108
Al2 0.690 0.190 0.381
Mg1 0.194 0.694 0.387
Ag1 0.830 0.830 0.660

---

(2)
Here is crystalline Sr2MgAl3Ag4 at its relaxed geometry from Alexandria. Energies are from PBE-GGA.

Output
Spin magnetization ... 0.00 Bohr magnetons per cell
Calculated density ... 5.12 g cm⁻³
Formation enthalpy at 0 K ... -0.2497 eV per atom

Unit cell a=4.508 b=4.508 c=11.370 alpha=90.00 beta=90.00 gamma=90.00
Atoms (fractional coordinates):
Al1 0.000 0.500 0.125
Al2 0.500 0.000 0.875
Al3 0.000 0.000 0.500
Ag1 0.000 0.500 0.358
Ag2 0.000 0.000 0.000
Ag3 0.500 0.500 0.000
Ag4 0.500 0.000 0.642
Sr1 0.000 0.500 0.758
Sr2 0.500 0.000 0.242
Mg1 0.500 0.500 0.500

---

(3)
Here is crystalline SrMgAlAg at its relaxed geometry from Alexandria. Energies are from PBE-GGA.

Output
Spin magnetization ... 0.00 Bohr magnetons per cell
Calculated density ... 4.20 g cm⁻³
Formation enthalpy at 0 K ... -0.0943 eV per atom

Unit cell a=5.167 b=5.167 c=5.167 alpha=60.00 beta=60.00 gamma=60.00
Atoms (fractional coordinates):
Al1 0.000 0.000 0.000
Sr1 0.250 0.250 0.250
Mg1 0.750 0.750 0.750
Ag1 0.500 0.500 0.500

---

(4)
Here is crystalline Sr2MgAlAg at its relaxed geometry from Alexandria. Energies are from PBE-GGA.

Output
Spin magnetization ... 0.00 Bohr magnetons per cell
Calculated density ... 2.81 g cm⁻³
Formation enthalpy at 0 K ... 0.1894 eV per atom

Unit cell a=6.231 b=5.091 c=6.231 alpha=90.00 beta=90.00 gamma=90.00
Atoms (fractional coordinates):
Mg1 0.000 0.500 0.000
Sr1 0.500 0.000 0.000
Sr2 0.000 0.000 0.500
Al1 0.000 0.000 0.000
Ag1 0.500 0.500 0.500

---

(5)
Here is crystalline Tb2MgAl3Ag4 at its relaxed geometry from Alexandria. Energies are from PBE-GGA.

Output
Spin magnetization ... 0.00 Bohr magnetons per cell
Calculated density ... 6.81 g cm⁻³
Formation enthalpy at 0 K ... -0.2860 eV per atom

Unit cell a=4.275 b=4.275 c=11.395 alpha=90.00 beta=90.00 gamma=90.00
Atoms (fractional coordinates):
Tb1 0.000 0.500 0.761
Tb2 0.500 0.000 0.239
Mg1 0.500 0.500 0.500
Al1 0.500 0.000 0.868
Al2 0.000 0.500 0.132
Al3 0.000 0.000 0.500
Ag1 0.500 0.500 0.000
Ag2 0.000 0.000 0.000
Ag3 0.000 0.500 0.354
Ag4 0.500 0.000 0.646

---

(6)
Here is crystalline TbMg2AlAg4 at its relaxed geometry from Alexandria. Energies are from PBE-GGA.

Output
Spin magnetization ... 0.00 Bohr magnetons per cell
Calculated density ... 6.95 g cm⁻³
Formation enthalpy at 0 K ... -0.1960 eV per atom

Unit cell a=4.643 b=4.643 c=8.939 alpha=74.95 beta=74.95 gamma=60.00
Atoms (fractional coordinates):
Mg1 0.755 0.755 0.736
Mg2 0.245 0.245 0.264
Ag1 0.870 0.870 0.390
Ag2 0.606 0.606 0.182
Ag3 0.130 0.130 0.610
Ag4 0.394 0.394 0.818
Tb1 0.000 0.000 0.000
Al1 0.500 0.500 0.500

---

(7)
Here is crystalline MgAl2AgTe4 at its relaxed geometry from Alexandria. Energies are from PBE-GGA.

Output
Spin magnetization ... 0.00 Bohr magnetons per cell
Uncorrected formation energy ... -0.38 eV/atom
Calculated density ... 4.46 g cm⁻³

Unit cell a=6.508 b=6.508 c=7.538 alpha=112.74 beta=112.74 gamma=96.00
Atoms (fractional coordinates):
Te1 0.611 0.611 0.720
Te2 0.874 0.376 0.250
Te3 0.109 0.109 0.720
Te4 0.376 0.874 0.250
Ag1 0.007 0.007 0.015
Al1 0.260 0.760 0.520
Al2 0.760 0.260 0.520
Mg1 0.502 0.502 0.004

---

(8)
Here is crystalline ThMgAl2Ag4 at its relaxed geometry from Alexandria. Energies are from PBE-GGA.

Output
Spin magnetization ... 0.00 Bohr magnetons per cell
Calculated density ... 7.77 g cm⁻³
Formation enthalpy at 0 K ... -0.1829 eV per atom

Unit cell a=4.529 b=4.529 c=9.305 alpha=75.92 beta=75.92 gamma=60.00
Atoms (fractional coordinates):
Ag1 0.131 0.131 0.608
Ag2 0.869 0.869 0.392
Ag3 0.399 0.399 0.803
Ag4 0.601 0.601 0.197
Th1 0.000 0.000 0.000
Mg1 0.500 0.500 0.500
Al1 0.754 0.754 0.738
Al2 0.246 0.246 0.262